# 1
Computed, not measured: a geometry-optimized LaPrSb4Pd2 structure at the GGA-PBE level of DFT.

a = 4.516 Å, b = 4.516 Å, c = 10.014 Å
α = 90.00°, β = 90.00°, γ = 90.00°
Fractional positions:
La 0.000 0.000 0.000
Pr 0.500 0.500 0.494
Sb 0.000 0.000 0.399
Sb 0.000 0.500 0.746
Sb 0.500 0.000 0.746
Sb 0.500 0.500 0.098
Pd 0.000 0.500 0.249
Pd 0.500 0.000 0.249

=====

# 2
Computed, not measured: a geometry-optimized La2PrSi4Pd4 structure at the GGA-PBE level of DFT.

a = 12.760 Å, b = 12.760 Å, c = 12.760 Å
α = 161.02°, β = 160.70°, γ = 27.20°
Fractional positions:
La 0.147 0.147 0.000
La 0.853 0.853 0.000
Pr 0.500 0.000 0.500
Si 0.048 0.548 0.500
Si 0.303 0.303 0.000
Si 0.697 0.697 0.000
Si 0.952 0.452 0.500
Pd 0.251 0.751 0.500
Pd 0.402 0.402 0.000
Pd 0.598 0.598 0.000
Pd 0.749 0.249 0.500

=====

# 3
Computed, not measured: a geometry-optimized LaPrSn2Pd4 structure at the GGA-PBE level of DFT.

a = 4.666 Å, b = 4.666 Å, c = 9.319 Å
α = 90.00°, β = 90.00°, γ = 120.00°
Fractional positions:
La 0.000 0.000 0.000
Pr 0.333 0.667 0.500
Sn 0.667 0.333 0.254
Sn 0.667 0.333 0.746
Pd 0.000 0.000 0.331
Pd 0.000 0.000 0.669
Pd 0.333 0.667 0.170
Pd 0.333 0.667 0.830

=====

# 4
Computed, not measured: a geometry-optimized La2PrSn3Pd3 structure at the GGA-PBE level of DFT.

a = 4.203 Å, b = 7.697 Å, c = 7.697 Å
α = 120.09°, β = 90.00°, γ = 90.00°
Fractional positions:
La 0.000 0.207 0.793
La 0.000 0.793 0.207
Pr 0.000 0.380 0.380
Sn 0.500 0.041 0.041
Sn 0.500 0.545 0.792
Sn 0.500 0.792 0.545
Pd 0.000 0.792 0.792
Pd 0.500 0.126 0.459
Pd 0.500 0.459 0.126

=====

# 5
Computed, not measured: a geometry-optimized LaPrTlPd2 structure at the GGA-PBE level of DFT.

a = 3.882 Å, b = 8.009 Å, c = 8.009 Å
α = 30.65°, β = 90.00°, γ = 90.00°
Fractional positions:
La 0.000 0.000 0.000
Pr 0.000 0.266 0.266
Tl 0.500 0.635 0.635
Pd 0.500 0.444 0.444
Pd 0.500 0.826 0.826

=====

# 6
Computed, not measured: a geometry-optimized LaPdPt structure at the GGA-PBE level of DFT.

a = 4.662 Å, b = 4.662 Å, c = 4.662 Å
α = 60.00°, β = 60.00°, γ = 60.00°
Fractional positions:
La 0.000 0.000 0.000
Pd 0.250 0.250 0.250
Pt 0.500 0.500 0.500

- Relative energy among the computed polymorphs: 0.000 eV/atom
- Energy relative to the elements: -0.73 eV per atom

=====

# 7
Computed, not measured: a geometry-optimized La2PdPt structure at the GGA-PBE level of DFT.

a = 4.639 Å, b = 5.879 Å, c = 5.879 Å
α = 39.49°, β = 90.00°, γ = 90.00°
Fractional positions:
La 0.000 0.000 0.000
La 0.500 0.270 0.270
Pd 0.500 0.546 0.546
Pt 0.000 0.725 0.725

- Energy relative to the elements: -1.02 eV per atom

=====

# 8
Computed, not measured: a geometry-optimized LaPdPt structure at the GGA-PBE level of DFT.

a = 4.765 Å, b = 4.765 Å, c = 4.765 Å
α = 60.00°, β = 60.00°, γ = 60.00°
Fractional positions:
La 0.000 0.000 0.000
Pd 0.750 0.750 0.750
Pt 0.250 0.250 0.250

- Relative energy among the computed polymorphs: 0.332 eV/atom
- Energy relative to the elements: -0.40 eV per atom

=====

# 9
Computed, not measured: a geometry-optimized La2Sb2PdPt structure at the GGA-PBE level of DFT.

a = 4.625 Å, b = 4.625 Å, c = 8.239 Å
α = 90.00°, β = 90.00°, γ = 120.00°
Fractional positions:
La 0.000 0.000 0.000
La 0.000 0.000 0.499
Sb 0.333 0.667 0.759
Sb 0.667 0.333 0.261
Pd 0.667 0.333 0.717
Pt 0.333 0.667 0.217

=====

# 10
Computed, not measured: a geometry-optimized LaSm2Sn3PdPt2 structure at the GGA-PBE level of DFT.

a = 4.146 Å, b = 7.644 Å, c = 7.644 Å
α = 120.08°, β = 90.00°, γ = 90.00°
Fractional positions:
La 0.000 0.000 0.000
Sm 0.000 0.174 0.586
Sm 0.000 0.586 0.174
Sn 0.500 0.336 0.336
Sn 0.500 0.581 0.837
Sn 0.500 0.837 0.581
Pd 0.000 0.583 0.583
Pt 0.500 0.253 0.917
Pt 0.500 0.917 0.253

=====

# 11
Computed, not measured: a geometry-optimized La2Sn4PdPt structure at the GGA-PBE level of DFT.

a = 4.583 Å, b = 4.605 Å, c = 9.892 Å
α = 90.00°, β = 101.80°, γ = 90.00°
Fractional positions:
La 0.000 0.000 0.000
La 0.291 0.500 0.448
Sn 0.385 0.000 0.725
Sn 0.504 0.500 0.146
Sn 0.783 0.000 0.300
Sn 0.900 0.500 0.723
Pd 0.473 0.500 0.877
Pt 0.808 0.000 0.569

- Relative energy among the computed polymorphs: 0.000 eV/atom

=====

# 12
Computed, not measured: a geometry-optimized La2Sn4PdPt structure at the GGA-PBE level of DFT.

a = 4.715 Å, b = 9.831 Å, c = 9.831 Å
α = 26.73°, β = 90.00°, γ = 90.00°
Fractional positions:
La 0.000 0.000 0.000
La 0.500 0.218 0.218
Sn 0.000 0.362 0.362
Sn 0.000 0.650 0.650
Sn 0.500 0.568 0.568
Sn 0.500 0.857 0.857
Pd 0.500 0.432 0.432
Pt 0.000 0.786 0.786

- Relative energy among the computed polymorphs: 0.008 eV/atom

=====

It is found that the M_tot values, taken in the order of the records, are 0.001, 0.001, 0.000, 0.000, 0.001, 0.000, 0.001, 0.000, 0.001, 0.000, 0.001, 0.001 μB/atom.
It is found that the energy values, taken in the order of the records, are -5.44, -6.13, -5.65, -5.62, -5.22, -6.11, -6.29, -5.78, -6.06, -5.89, -5.47, -5.46 eV/atom.